[1]
Density functional theory data (meta-GGA SCAN) for a crystal of MgBeAl2 relaxed with PBEsol.

```
MgBeAl2
1.0
-0.0964 -2.2596 3.2157
3.7701 -0.9617 -0.5628
1.1388 3.1494 2.2472
Be Mg Al
1 1 2
Direct
0.5000 0.5000 0.5000 Be
0.0000 0.0000 0.5000 Mg
0.0000 0.5000 0.0000 Al
0.5000 0.0000 0.0000 Al
```

Values from the calculation:
* E above lowest polymorph: 10 meV/atom
* calculated volume: 62 Å³/cell
* ρ: 2.3 g cm⁻³
* DOS at the Fermi energy: 1.09 states/eV/cell
* formation energy: 0.21 eV per atom

[2]
Density functional theory data (meta-GGA SCAN) for a crystal of MgBeAl2 relaxed with PBEsol.

```
MgBeAl2
1.0
2.8500 0.0000 0.0000
0.0000 3.7682 0.0000
0.0000 0.0000 5.9004
Be Mg Al
1 1 2
Direct
0.0000 0.0000 0.4603 Be
0.5000 0.5000 0.7383 Mg
0.0000 0.0000 0.0280 Al
0.5000 0.5000 0.2734 Al
```

Values from the calculation:
* E above lowest polymorph: 0 meV/atom
* calculated volume: 63 Å³/cell
* ρ: 2.3 g cm⁻³
* DOS at the Fermi energy: 1.29 states/eV/cell
* formation energy: 0.20 eV per atom

[3]
Density functional theory data (meta-GGA SCAN) for a crystal of MgBeAl relaxed with PBEsol.

```
MgBeAl
1.0
3.1351 0.0000 0.0000
0.0000 4.1791 0.0000
0.0000 -2.0895 3.6192
Be Mg Al
1 1 1
Direct
0.0000 0.3333 0.6667 Be
0.5000 0.6667 0.3333 Mg
0.0000 0.0000 0.0000 Al
```

Values from the calculation:
* calculated volume: 47 Å³/cell
* ρ: 2.1 g cm⁻³
* DOS at the Fermi energy: 0.77 states/eV/cell
* formation energy: 0.18 eV per atom

[4]
Density functional theory data (meta-GGA SCAN) for a crystal of Mg2BeAl relaxed with PBEsol.

```
Mg2BeAl
1.0
-2.0392 0.7685 -1.9172
3.0531 -0.5432 -3.4652
-1.9160 -5.0271 2.2200
Be Mg Al
1 2 1
Direct
0.2392 0.7392 0.4784 Be
0.9597 0.9597 0.9193 Mg
0.7553 0.2553 0.5105 Mg
0.5459 0.5459 0.0918 Al
```

Values from the calculation:
* E above lowest polymorph: 14 meV/atom
* calculated volume: 69 Å³/cell
* ρ: 2.0 g cm⁻³
* DOS at the Fermi energy: 1.28 states/eV/cell
* formation energy: 0.23 eV per atom

[5]
Density functional theory data (meta-GGA SCAN) for a crystal of MgBeAl2 relaxed with PBEsol.

```
MgBeAl2
1.0
2.8670 0.0000 0.0000
-1.4335 4.5260 -0.0143
0.0000 -1.0025 4.8820
Be Mg Al
1 1 2
Direct
0.5071 0.0142 0.5186 Be
0.7599 0.5198 0.2640 Mg
0.9948 0.9896 0.9771 Al
0.2382 0.4763 0.7402 Al
```

Values from the calculation:
* E above lowest polymorph: 33 meV/atom
* calculated volume: 63 Å³/cell
* ρ: 2.3 g cm⁻³
* DOS at the Fermi energy: 1.42 states/eV/cell
* formation energy: 0.23 eV per atom

[6]
Density functional theory data (meta-GGA SCAN) for a crystal of MgBeAl4O8 relaxed with PBEsol.

```
MgBeAl4O8
1.0
-1.6238 -0.4066 5.3619
0.0153 -4.5577 -3.2832
17.1587 -3.4946 4.9313
Al Be Mg O
16 4 4 32
Direct
0.0000 0.0000 0.5536 Al
0.0000 0.0000 0.0536 Al
0.3333 0.6667 0.8130 Al
0.6667 0.3333 0.3130 Al
0.1634 0.8366 0.6865 Al
0.6731 0.8366 0.6865 Al
0.1634 0.3269 0.6865 Al
0.8366 0.1634 0.1865 Al
0.3269 0.1634 0.1865 Al
0.8366 0.6731 0.1865 Al
0.4986 0.9972 0.9376 Al
0.4986 0.5014 0.9376 Al
0.0028 0.5014 0.9376 Al
0.5014 0.0028 0.4376 Al
0.5014 0.4986 0.4376 Al
0.9972 0.4986 0.4376 Al
0.6667 0.3333 0.7816 Be
0.3333 0.6667 0.2816 Be
0.3333 0.6667 0.5455 Be
0.6667 0.3333 0.0455 Be
0.0000 0.0000 0.8444 Mg
0.0000 0.0000 0.3444 Mg
0.6667 0.3333 0.5945 Mg
0.3333 0.6667 0.0945 Mg
0.0000 0.0000 0.7400 O
0.0000 0.0000 0.2400 O
0.6667 0.3333 0.8787 O
0.3333 0.6667 0.3787 O
0.6667 0.3333 0.4906 O
0.3333 0.6667 0.9906 O
0.3333 0.6667 0.6333 O
0.6667 0.3333 0.1333 O
0.1840 0.8160 0.8786 O
0.6321 0.8160 0.8786 O
0.1840 0.3679 0.8786 O
0.8160 0.1840 0.3786 O
0.3679 0.1840 0.3786 O
0.8160 0.6321 0.3786 O
0.4937 0.9874 0.7483 O
0.4937 0.5063 0.7483 O
0.0126 0.5063 0.7483 O
0.5063 0.0126 0.2483 O
0.5063 0.4937 0.2483 O
0.9874 0.4937 0.2483 O
0.8202 0.6404 0.0003 O
0.8202 0.1798 0.0003 O
0.3596 0.1798 0.0003 O
0.1798 0.3596 0.5003 O
0.1798 0.8202 0.5003 O
0.6404 0.8202 0.5003 O
0.8526 0.7053 0.6254 O
0.8526 0.1474 0.6254 O
0.2947 0.1474 0.6254 O
0.1474 0.2947 0.1254 O
0.1474 0.8526 0.1254 O
0.7053 0.8526 0.1254 O
```

Values from the calculation:
* calculated volume: 497 Å³/cell
* ρ: 3.6 g cm⁻³
* DOS at the Fermi energy: 0.00 states/eV/cell
* VASP energy: -9.6954 eV/atom

[7]
Density functional theory data (meta-GGA SCAN) for a crystal of Mn2BeAl relaxed with PBEsol.

```
Mn2BeAl
1.0
-2.2785 1.0472 -2.7294
1.3967 -3.9801 -0.1764
-2.4184 -2.6194 1.0139
Be Mn Al
1 2 1
Direct
0.0000 0.0000 0.0000 Be
0.2500 0.5000 0.2500 Mn
0.7500 0.5000 0.7500 Mn
0.5000 0.0000 0.5000 Al
```

Values from the calculation:
* calculated volume: 45 Å³/cell
* ρ: 5.3 g cm⁻³
* DOS at the Fermi energy: 2.12 states/eV/cell
* formation energy: -0.31 eV per atom

[8]
Density functional theory data (meta-GGA SCAN) for a crystal of MnBeAl2 relaxed with PBEsol.

```
MnBeAl2
1.0
3.4991 0.0000 0.0000
0.0000 3.4991 0.0000
-1.7496 -1.7496 3.8700
Be Mn Al
1 1 2
Direct
0.5000 0.5000 0.0000 Be
0.2500 0.7500 0.5000 Mn
0.0000 0.0000 0.0000 Al
0.7500 0.2500 0.5000 Al
```

Values from the calculation:
* calculated volume: 47 Å³/cell
* ρ: 4.1 g cm⁻³
* DOS at the Fermi energy: 1.64 states/eV/cell
* formation energy: -0.22 eV per atom

[9]
Density functional theory data (meta-GGA SCAN) for a crystal of MnBeAl2 relaxed with PBEsol.

```
MnBeAl2
1.0
4.9510 0.0000 0.0000
2.4755 4.7314 0.0000
2.4755 0.0000 4.7314
Be Mn Al
2 2 4
Direct
0.2500 0.5000 0.5000 Be
0.5000 0.0000 0.0000 Be
0.7500 0.5000 0.5000 Mn
0.0000 0.0000 0.0000 Mn
0.1567 0.9683 0.4683 Al
0.5933 0.0317 0.5317 Al
0.3750 0.4683 0.0317 Al
0.8750 0.5317 0.9683 Al
```

Values from the calculation:
* calculated volume: 111 Å³/cell
* ρ: 3.5 g cm⁻³
* DOS at the Fermi energy: 2.80 states/eV/cell
* formation energy: 0.31 eV per atom

[10]
Density functional theory data (meta-GGA SCAN) for a crystal of Mn3BeAl relaxed with PBEsol.

```
Mn3BeAl
1.0
4.3565 0.0000 0.0000
0.0000 4.3565 0.0000
0.0000 0.0000 4.3565
Be Mn Al
1 3 1
Direct
0.5000 0.5000 0.5000 Be
0.0000 0.5000 0.0000 Mn
0.0000 0.0000 0.5000 Mn
0.5000 0.0000 0.0000 Mn
0.0000 0.0000 0.0000 Al
```

Values from the calculation:
* calculated volume: 83 Å³/cell
* ρ: 4.0 g cm⁻³
* DOS at the Fermi energy: 2.67 states/eV/cell
* formation energy: 0.97 eV per atom

[11]
Density functional theory data (meta-GGA SCAN) for a crystal of Mn2BeAl relaxed with PBEsol.

```
Mn2BeAl
1.0
2.7468 0.0000 0.0000
0.0000 2.7468 0.0000
0.0000 0.0000 5.5453
Be Mn Al
1 2 1
Direct
0.5000 0.5000 0.7788 Be
0.0000 0.0000 0.9919 Mn
0.5000 0.5000 0.2229 Mn
0.0000 0.0000 0.5065 Al
```

Values from the calculation:
* calculated volume: 42 Å³/cell
* ρ: 5.8 g cm⁻³
* DOS at the Fermi energy: 1.70 states/eV/cell
* formation energy: -0.20 eV per atom

[12]
Density functional theory data (meta-GGA SCAN) for a crystal of MnBeAl2 relaxed with PBEsol.

```
MnBeAl2
1.0
-1.4341 2.7257 0.0199
-2.9072 -1.5438 1.9571
3.9674 0.3296 2.4067
Be Mn Al
1 1 2
Direct
0.5150 0.5150 0.0300 Be
0.2350 0.7350 0.4701 Mn
0.9899 0.9899 0.9799 Al
0.7600 0.2600 0.5201 Al
```

Values from the calculation:
* calculated volume: 47 Å³/cell
* ρ: 4.2 g cm⁻³
* DOS at the Fermi energy: 1.09 states/eV/cell
* formation energy: -0.19 eV per atom

[13]
Density functional theory data (meta-GGA SCAN) for a crystal of MnBeAl2 relaxed with PBEsol.

```
MnBeAl2
1.0
2.9427 0.0000 0.0000
0.0000 3.0309 0.0000
0.0000 0.0000 5.4109
Be Mn Al
1 1 2
Direct
0.0000 0.0000 0.5290 Be
0.5000 0.5000 0.7290 Mn
0.0000 0.0000 0.9631 Al
0.5000 0.5000 0.2789 Al
```

Values from the calculation:
* calculated volume: 48 Å³/cell
* ρ: 4.1 g cm⁻³
* DOS at the Fermi energy: 1.41 states/eV/cell
* formation energy: -0.08 eV per atom

[14]
Density functional theory data (meta-GGA SCAN) for a crystal of Mn2BeAl relaxed with PBEsol.

```
Mn2BeAl
1.0
3.8848 0.0000 0.0000
1.9424 3.3643 0.0000
1.9424 1.1214 3.1719
Be Mn Al
1 2 1
Direct
0.7500 0.7500 0.7500 Be
0.0000 0.0000 0.0000 Mn
0.2500 0.2500 0.2500 Mn
0.5000 0.5000 0.5000 Al
```

Values from the calculation:
* calculated volume: 41 Å³/cell
* ρ: 5.8 g cm⁻³
* DOS at the Fermi energy: 2.46 states/eV/cell
* formation energy: -0.19 eV per atom

[15]
Density functional theory data (meta-GGA SCAN) for a crystal of Mn2BeAl relaxed with PBEsol.

```
Mn2BeAl
1.0
-0.3153 -0.9225 2.6296
2.7329 0.4152 0.4733
-1.0861 5.2126 1.6984
Be Mn Al
1 2 1
Direct
0.5000 0.5000 0.5000 Be
0.0000 0.0000 0.7231 Mn
0.0000 0.0000 0.2769 Mn
0.5000 0.5000 0.0000 Al
```

Values from the calculation:
* calculated volume: 44 Å³/cell
* ρ: 5.5 g cm⁻³
* DOS at the Fermi energy: 1.50 states/eV/cell
* formation energy: -0.34 eV per atom

[16]
Density functional theory data (meta-GGA SCAN) for a crystal of Mn2BeAl relaxed with PBEsol.

```
Mn2BeAl
1.0
2.9976 0.0000 0.0000
0.0000 3.8306 0.3911
0.0000 -0.3899 3.8307
Be Mn Al
1 2 1
Direct
0.5000 0.5000 0.5000 Be
0.0000 0.5000 0.0000 Mn
0.0000 0.0000 0.5000 Mn
0.5000 0.0000 0.0000 Al
```

Values from the calculation:
* calculated volume: 44 Å³/cell
* ρ: 5.5 g cm⁻³
* DOS at the Fermi energy: 2.18 states/eV/cell
* formation energy: -0.30 eV per atom

[17]
Density functional theory data (meta-GGA SCAN) for a crystal of Mn2BeAlPb relaxed with PBEsol.

```
Mn2BeAlPb
1.0
4.3401 0.0000 0.0000
0.0000 4.6446 0.0000
0.0000 0.0000 4.6446
Pb Be Mn Al
1 1 2 1
Direct
0.5000 0.5000 0.5000 Pb
0.5000 0.0000 0.0000 Be
0.0000 0.0000 0.5000 Mn
0.0000 0.5000 0.0000 Mn
0.0000 0.0000 0.0000 Al
```

Values from the calculation:
* calculated volume: 94 Å³/cell
* ρ: 6.3 g cm⁻³
* DOS at the Fermi energy: 1.43 states/eV/cell
* formation energy: 0.57 eV per atom

[18]
Density functional theory data (meta-GGA SCAN) for a crystal of Be2AlMo2 relaxed with PBEsol.

```
Be2AlMo2
1.0
-2.7610 1.7097 -0.4910
0.5595 -0.8027 -5.9417
-3.2130 -5.0784 0.3836
Be Mo Al
4 4 2
Direct
0.0000 0.3812 0.8812 Be
0.0000 0.8812 0.6188 Be
0.0000 0.6188 0.1188 Be
0.0000 0.1188 0.3812 Be
0.5000 0.1744 0.6744 Mo
0.5000 0.6744 0.8256 Mo
0.5000 0.8256 0.3256 Mo
0.5000 0.3256 0.1744 Mo
0.0000 0.0000 0.0000 Al
0.0000 0.5000 0.5000 Al
```

Values from the calculation:
* calculated volume: 119 Å³/cell
* ρ: 6.6 g cm⁻³
* DOS at the Fermi energy: 8.49 states/eV/cell
* formation energy: -0.18 eV per atom

[19]
Density functional theory data (meta-GGA SCAN) for a crystal of Be2AlMo relaxed with PBEsol.

```
Be2AlMo
1.0
-2.0455 3.0150 -1.8303
-2.9143 2.0086 2.0241
0.6080 3.8654 1.1463
Be Mo Al
2 1 1
Direct
0.0000 0.0000 0.0000 Be
0.2500 0.2500 0.2500 Be
0.7500 0.7500 0.7500 Mo
0.5000 0.5000 0.5000 Al
```

Values from the calculation:
* calculated volume: 48 Å³/cell
* ρ: 4.9 g cm⁻³
* DOS at the Fermi energy: 2.39 states/eV/cell
* formation energy: 0.25 eV per atom

[20]
Density functional theory data (meta-GGA SCAN) for a crystal of BeAlMo2 relaxed with PBEsol.

```
BeAlMo2
1.0
2.6468 -0.0023 -0.0036
-0.5699 4.7999 -0.0249
-0.5699 -2.0729 4.3293
Be Mo Al
1 2 1
Direct
0.5000 0.0000 0.0000 Be
0.0000 0.0000 0.5000 Mo
0.0000 0.5000 0.0000 Mo
0.5000 0.5000 0.5000 Al
```

Values from the calculation:
* calculated volume: 55 Å³/cell
* ρ: 6.9 g cm⁻³
* DOS at the Fermi energy: 2.32 states/eV/cell
* formation energy: -0.01 eV per atom